(1)
The following is a GGA-PBE calculation of ZrInCuSe2 after structural relaxation, from the Alexandria database.

crystal system: tetragonal
uncorrected formation energy: 0.174 eV/atom

Cell and atoms, written as POSCAR:
```
ZrInCuSe2
1.0
5.1384 0.0000 0.0000
0.0000 5.9292 0.0000
0.0000 0.0000 5.1384
In Se Cu Zr
1 2 1 1
direct
0.0000 0.5000 0.0000
0.5000 0.0000 0.0000
0.0000 0.0000 0.5000
0.5000 0.5000 0.5000
0.0000 0.0000 0.0000
```

(2)
The following is a GGA-PBE calculation of Pm4SmAu4 after structural relaxation, from the Alexandria database.

energy relative to the elements: -498.2 kJ/mol of formula units
crystal system: tetragonal

Cell and atoms, written as POSCAR:
```
Pm4SmAu4
1.0
-2.9192 5.0071 2.0809
-7.5998 -5.1016 1.6141
3.0363 -1.8029 8.5977
Pm Au Sm
8 8 2
direct
0.0891 0.1919 0.5910
0.9109 0.5910 0.8081
0.5891 0.9090 0.6919
0.0891 0.8081 0.4090
0.5891 0.0910 0.3081
0.9109 0.4090 0.1919
0.4109 0.6919 0.0910
0.4109 0.3081 0.9090
0.0987 0.8831 0.7173
0.4013 0.6169 0.7827
0.5987 0.2173 0.6169
0.5987 0.7827 0.3831
0.0987 0.1169 0.2827
0.4013 0.3831 0.2173
0.9013 0.2827 0.8831
0.9013 0.7173 0.1169
0.5000 0.5000 0.5000
0.0000 0.0000 0.0000
```

(3)
The following is a GGA-PBE calculation of PuAl4Rh5 after structural relaxation, from the Alexandria database.

energy relative to the elements: -908.2 kJ/mol of formula units
crystal system: tetragonal

Cell and atoms, written as POSCAR:
```
PuAl4Rh5
1.0
2.9927 0.0000 0.0000
0.0000 2.9927 0.0000
0.0000 0.0000 16.3893
Rh Pu Al
5 1 4
direct
0.5000 0.5000 0.5000
0.5000 0.5000 0.6834
0.5000 0.5000 0.1318
0.5000 0.5000 0.3166
0.5000 0.5000 0.8682
0.0000 0.0000 0.0000
0.0000 0.0000 0.5931
0.0000 0.0000 0.2194
0.0000 0.0000 0.4069
0.0000 0.0000 0.7806
```

(4)
The following is a GGA-PBE calculation of Sr2Cd2Ni after structural relaxation, from the Alexandria database.

energy relative to the elements: 4.1 kJ/mol of formula units
crystal system: tetragonal

Cell and atoms, written as POSCAR:
```
Sr2Cd2Ni
1.0
-3.9725 6.2473 0.4986
-5.6121 -3.8088 3.0092
1.9667 0.8699 4.7690
Ni Sr Cd
2 4 4
direct
0.0000 0.0000 0.0000
0.5000 0.5000 0.0000
0.1790 0.6790 0.5000
0.6790 0.8210 0.5000
0.8210 0.3210 0.5000
0.3210 0.1790 0.5000
0.1403 0.3597 0.0000
0.6403 0.1403 0.0000
0.3597 0.8597 0.0000
0.8597 0.6403 0.0000
```

(5)
The following is a GGA-PBE calculation of Pr4N after structural relaxation, from the Alexandria database.

crystal system: monoclinic
relative energy among the computed polymorphs: 89 meV per atom
uncorrected formation energy: -0.318 eV/atom

Cell and atoms, written as POSCAR:
```
Pr4N
1.0
5.9946 0.0000 1.7253
3.1231 4.9514 0.4256
0.1572 -1.6362 10.7304
Pr N
8 2
direct
0.3598 0.5650 0.6933
0.8841 0.3024 0.9314
0.1159 0.6976 0.0686
0.6180 0.9350 0.8067
0.8820 0.8024 0.4314
0.6402 0.4350 0.3067
0.3820 0.0650 0.1933
0.1180 0.1976 0.5686
0.2383 0.2500 0.7500
0.7617 0.7500 0.2500
```

(6)
The following is a GGA-PBE calculation of GdURe after structural relaxation, from the Alexandria database.

energy relative to the elements: 100.7 kJ/mol of formula units
crystal system: trigonal
relative energy among the computed polymorphs: 175 meV per atom

Cell and atoms, written as POSCAR:
```
GdURe
1.0
-2.1404 4.2778 -0.4518
-1.4274 -3.0505 3.4267
2.0423 1.2271 1.9430
Re Gd U
1 1 1
direct
0.3333 0.6667 0.6235
0.0000 0.0000 0.0103
0.6667 0.3333 0.3662
```

(7)
The following is a GGA-PBE calculation of Nb2RuAu after structural relaxation, from the Alexandria database.

energy relative to the elements: 101.5 kJ/mol of formula units
crystal system: trigonal

Cell and atoms, written as POSCAR:
```
Nb2RuAu
1.0
4.0568 0.0000 0.0000
2.0284 3.5133 0.0000
2.0284 1.1711 5.4960
Nb Au Ru
2 1 1
direct
0.0664 0.0664 0.8007
0.2680 0.2680 0.1961
0.4982 0.4982 0.5055
0.6674 0.6674 0.9977
```

(8)
The following is a GGA-PBE calculation of Zr4Sn3H4 after structural relaxation, from the Alexandria database.

crystal system: orthorhombic
total energy: -62.74 eV per cell

Cell and atoms, written as POSCAR:
```
Zr4Sn3H4
1.0
4.9960 0.0000 0.0000
0.0000 6.0316 0.0000
-2.4980 -3.0158 5.9154
Sn Zr H
3 4 4
direct
0.0000 0.5000 0.0000
0.1231 0.1231 0.2462
0.8769 0.8769 0.7538
0.5000 0.2411 0.0000
0.5000 0.7589 0.0000
0.2471 0.7471 0.4942
0.7529 0.2529 0.5058
0.3278 0.5422 0.6557
0.6722 0.4578 0.3443
0.3278 0.1135 0.6557
0.6722 0.8865 0.3443
```

Record order is preserved below.
Density: 4.53; 9.48; 9.80; 5.29; 6.14; 15.71; 10.26; 6.75 Mg/m³
Record order is preserved below.
Total moment: 0.000; 0.000; 0.468; 0.000; 0.000; 1.802; 0.000; 0.000 μB per atom